#A
An optimized crystal structure of CaTeBr2, computed with PBE.

As for the magnetic moment: 8.0 μB per cell. Its crystal system is tetragonal. As for the density of states at the Fermi level: 0.6 states/eV/f.u.

The space group is I-42d (No. 122) and the conventional cell measures 9.4168, 9.4168 and 6.7322 Å, with angles of 90.00, 90.00 and 90.00 degrees. The distinct sites, in fractional coordinates, are Ca at (0.0000, 0.0000, 0.0000), Te at (0.0000, 0.0000, 0.5000) and Br at (0.1487, 0.2500, 0.1250).

=====

#B
An optimized crystal structure of CaTeBr2, computed with PBE.

As for the magnetic moment: 2.9 μB per cell. Its crystal system is orthorhombic. As for the density of states at the Fermi level: 1.8 states/eV/f.u.

The space group is Immm (No. 71) and the conventional cell measures 3.7616, 6.7367 and 10.9215 Å, with angles of 90.00, 90.00 and 90.00 degrees. The distinct sites, in fractional coordinates, are Ca at (0.0000, 0.0000, 0.0000), Te at (0.0000, 0.0000, 0.5000) and Br at (0.0000, 0.5000, 0.3093).

=====

#C
An optimized crystal structure of CaTeBr2, computed with PBE.

As for the magnetic moment: 0.0 μB per cell. Its crystal system is monoclinic.

The space group is C2/m (No. 12) and the conventional cell measures 14.0656, 4.1439 and 5.2699 Å, with angles of 90.00, 97.55 and 90.00 degrees. The distinct sites, in fractional coordinates, are Ca at (0.0000, 0.0000, 0.0000), Te at (0.0000, 0.5000, 0.5000) and Br at (0.1486, 0.5000, 0.1953).

=====

#D
An optimized crystal structure of CaTeBr2, computed with PBE.

As for the magnetic moment: 0.0 μB per cell. Its crystal system is monoclinic. As for the density of states at the Fermi level: 0.5 states/eV/f.u.

The space group is Pm (No. 6) and the conventional cell measures 4.5866, 5.5056 and 5.3656 Å, with angles of 90.00, 110.49 and 90.00 degrees. The distinct sites, in fractional coordinates, are Ca at (0.0000, 0.0000, 0.0000), Te at (0.3343, 0.5000, 0.8251), Br at (0.1456, 0.5000, 0.2929) and Br at (0.6811, 0.0000, 0.4003).

=====

Most favorable structure: #C. The second most favorable one is 67 meV per atom above it.

=====

#A
An optimized crystal structure of CaTe3Br, computed with PBE.

As for the magnetic moment: 0.0 μB per cell. Its crystal system is cubic. As for the density of states at the Fermi level: 2.6 states/eV/f.u.

The space group is Pm-3m (No. 221) and the conventional cell measures 5.6058, 5.6058 and 5.6058 Å, with angles of 90.00, 90.00 and 90.00 degrees. The distinct sites, in fractional coordinates, are Ca at (0.0000, 0.0000, 0.0000), Te at (0.0000, 0.5000, 0.5000) and Br at (0.5000, 0.5000, 0.5000).

=====

#B
An optimized crystal structure of CaTe3Br, computed with PBE.

As for the magnetic moment: 0.0 μB per cell. Its crystal system is cubic. As for the density of states at the Fermi level: 8.0 states/eV/f.u.

The space group is Pm-3m (No. 221) and the conventional cell measures 5.8299, 5.8299 and 5.8299 Å, with angles of 90.00, 90.00 and 90.00 degrees. The distinct sites, in fractional coordinates, are Ca at (0.0000, 0.0000, 0.0000), Te at (0.0000, 0.0000, 0.5000) and Br at (0.5000, 0.5000, 0.5000).

=====

Most favorable structure: #A. The second most favorable one is 126 meV per atom above it.

=====

#A
An optimized crystal structure of CaTi3Br, computed with PBE.

As for the magnetic moment: 0.0 μB per cell. Its crystal system is cubic. As for the density of states at the Fermi level: 7.8 states/eV/f.u.

The space group is Pm-3m (No. 221) and the conventional cell measures 4.8260, 4.8260 and 4.8260 Å, with angles of 90.00, 90.00 and 90.00 degrees. The distinct sites, in fractional coordinates, are Ca at (0.0000, 0.0000, 0.0000), Ti at (0.0000, 0.5000, 0.5000) and Br at (0.5000, 0.5000, 0.5000).

=====

#B
An optimized crystal structure of CaTi3Br, computed with PBE.

As for the magnetic moment: 3.3 μB per cell. Its crystal system is cubic. As for the density of states at the Fermi level: 7.8 states/eV/f.u.

The space group is Pm-3m (No. 221) and the conventional cell measures 5.0041, 5.0041 and 5.0041 Å, with angles of 90.00, 90.00 and 90.00 degrees. The distinct sites, in fractional coordinates, are Ca at (0.0000, 0.0000, 0.0000), Ti at (0.0000, 0.0000, 0.5000) and Br at (0.5000, 0.5000, 0.5000).

=====

Most favorable structure: #A. The second most favorable one is 1375 meV per atom above it.